Run one
# PBE-GGA CuNClF2, relaxed
# total magnetic moment: 0.160 μB/cell
# crystal system: tetragonal
data_CuNClF2
_cell_length_a 4.6751
_cell_length_b 4.6751
_cell_length_c 3.2472
_cell_angle_alpha 90.00
_cell_angle_beta 90.00
_cell_angle_gamma 90.00
_symmetry_space_group_name_H-M 'P 4/m m m'
_symmetry_Int_Tables_number 123
_symmetry_space_group_name_Hall '-P 4 2'
loop_
_atom_site_label
_atom_site_type_symbol
_atom_site_fract_x
_atom_site_fract_y
_atom_site_fract_z
Cu1 Cu 0.0000 0.0000 0.0000
N1 N 0.5000 0.5000 0.0000
Cl1 Cl 0.5000 0.5000 0.5000
F1 F 0.0000 0.5000 0.5000

Run two
# PBE-GGA CuNClF2, relaxed
# total magnetic moment: 0.001 μB/cell
# crystal system: tetragonal
data_CuNClF2
_cell_length_a 3.6748
_cell_length_b 3.6748
_cell_length_c 4.6034
_cell_angle_alpha 90.00
_cell_angle_beta 90.00
_cell_angle_gamma 90.00
_symmetry_space_group_name_H-M 'P 4/m m m'
_symmetry_Int_Tables_number 123
_symmetry_space_group_name_Hall '-P 4 2'
loop_
_atom_site_label
_atom_site_type_symbol
_atom_site_fract_x
_atom_site_fract_y
_atom_site_fract_z
Cu1 Cu 0.0000 0.0000 0.0000
N1 N 0.0000 0.0000 0.5000
Cl1 Cl 0.5000 0.5000 0.5000
F1 F 0.0000 0.5000 0.0000

Which structure loses on stability? run one does.

Run one
# PBE-GGA CuS2ClF, relaxed
# total magnetic moment: 0.485 μB/cell
# crystal system: tetragonal
data_CuS2ClF
_cell_length_a 4.0128
_cell_length_b 4.0128
_cell_length_c 6.4482
_cell_angle_alpha 90.00
_cell_angle_beta 90.00
_cell_angle_gamma 90.00
_symmetry_space_group_name_H-M 'P 4/m m m'
_symmetry_Int_Tables_number 123
_symmetry_space_group_name_Hall '-P 4 2'
loop_
_atom_site_label
_atom_site_type_symbol
_atom_site_fract_x
_atom_site_fract_y
_atom_site_fract_z
Cu1 Cu 0.0000 0.0000 0.0000
S1 S 0.0000 0.5000 0.5000
Cl1 Cl 0.5000 0.5000 0.0000
F1 F 0.5000 0.5000 0.5000

Run two
# PBE-GGA CuS2ClF, relaxed
# total magnetic moment: 3.006 μB/cell
# crystal system: tetragonal
data_CuS2ClF
_cell_length_a 4.5937
_cell_length_b 4.5937
_cell_length_c 4.5863
_cell_angle_alpha 90.00
_cell_angle_beta 90.00
_cell_angle_gamma 90.00
_symmetry_space_group_name_H-M 'P 4/m m m'
_symmetry_Int_Tables_number 123
_symmetry_space_group_name_Hall '-P 4 2'
loop_
_atom_site_label
_atom_site_type_symbol
_atom_site_fract_x
_atom_site_fract_y
_atom_site_fract_z
Cu1 Cu 0.0000 0.0000 0.0000
S1 S 0.0000 0.5000 0.0000
Cl1 Cl 0.0000 0.0000 0.5000
F1 F 0.5000 0.5000 0.5000

Which structure loses on stability? run one does.

Run one
# PBE-GGA FeCu2Cl, relaxed
# total magnetic moment: 2.942 μB/cell
# crystal system: orthorhombic
data_FeCu2Cl
_cell_length_a 2.9760
_cell_length_b 2.9940
_cell_length_c 6.7555
_cell_angle_alpha 90.00
_cell_angle_beta 90.00
_cell_angle_gamma 90.00
_symmetry_space_group_name_H-M 'P m m m'
_symmetry_Int_Tables_number 47
_symmetry_space_group_name_Hall '-P 2 2'
loop_
_atom_site_label
_atom_site_type_symbol
_atom_site_fract_x
_atom_site_fract_y
_atom_site_fract_z
Fe1 Fe 0.0000 0.0000 0.0000
Cu1 Cu 0.5000 0.5000 0.2148
Cl1 Cl 0.5000 0.0000 0.5000

Run two
# PBE-GGA FeCu2Cl, relaxed
# total magnetic moment: 3.248 μB/cell
# crystal system: orthorhombic
data_FeCu2Cl
_cell_length_a 2.8851
_cell_length_b 4.1099
_cell_length_c 4.8277
_cell_angle_alpha 90.00
_cell_angle_beta 90.00
_cell_angle_gamma 90.00
_symmetry_space_group_name_H-M 'P m m m'
_symmetry_Int_Tables_number 47
_symmetry_space_group_name_Hall '-P 2 2'
loop_
_atom_site_label
_atom_site_type_symbol
_atom_site_fract_x
_atom_site_fract_y
_atom_site_fract_z
Fe1 Fe 0.0000 0.0000 0.0000
Cu1 Cu 0.0000 0.5000 0.5000
Cu2 Cu 0.5000 0.0000 0.5000
Cl1 Cl 0.5000 0.5000 0.0000

Run three
# PBE-GGA FeCu2Cl, relaxed
# total magnetic moment: 6.266 μB/cell
# crystal system: orthorhombic
data_FeCu2Cl
_cell_length_a 2.8163
_cell_length_b 3.9952
_cell_length_c 10.6448
_cell_angle_alpha 90.00
_cell_angle_beta 90.00
_cell_angle_gamma 90.00
_symmetry_space_group_name_H-M 'I m m m'
_symmetry_Int_Tables_number 71
_symmetry_space_group_name_Hall '-I 2 2'
loop_
_atom_site_label
_atom_site_type_symbol
_atom_site_fract_x
_atom_site_fract_y
_atom_site_fract_z
Fe1 Fe 0.0000 0.0000 0.0000
Cu1 Cu 0.0000 0.5000 0.2807
Cl1 Cl 0.0000 0.0000 0.5000

Which structure loses on stability? run two does.

Run one
# PBE-GGA FeCu2Cl, relaxed
# total magnetic moment: 12.458 μB/cell
# crystal system: tetragonal
data_FeCu2Cl
_cell_length_a 6.9572
_cell_length_b 6.9572
_cell_length_c 4.9587
_cell_angle_alpha 90.00
_cell_angle_beta 90.00
_cell_angle_gamma 90.00
_symmetry_space_group_name_H-M 'I -4 2 d'
_symmetry_Int_Tables_number 122
_symmetry_space_group_name_Hall 'I -4 2bw'
loop_
_atom_site_label
_atom_site_type_symbol
_atom_site_fract_x
_atom_site_fract_y
_atom_site_fract_z
Fe1 Fe 0.0000 0.0000 0.0000
Cu1 Cu 0.2421 0.2500 0.6250
Cl1 Cl 0.0000 0.0000 0.5000

Run two
# PBE-GGA FeCu2Cl, relaxed
# total magnetic moment: 11.688 μB/cell
# crystal system: cubic
data_FeCu2Cl
_cell_length_a 6.1719
_cell_length_b 6.1719
_cell_length_c 6.1719
_cell_angle_alpha 90.00
_cell_angle_beta 90.00
_cell_angle_gamma 90.00
_symmetry_space_group_name_H-M 'F m -3 m'
_symmetry_Int_Tables_number 225
_symmetry_space_group_name_Hall '-F 4 2 3'
loop_
_atom_site_label
_atom_site_type_symbol
_atom_site_fract_x
_atom_site_fract_y
_atom_site_fract_z
Fe1 Fe 0.0000 0.0000 0.0000
Cu1 Cu 0.2500 0.2500 0.2500
Cl1 Cl 0.0000 0.0000 0.5000

Which structure loses on stability? run two does.

Run one
# PBE-GGA FeCu2Cl, relaxed
# total magnetic moment: 6.428 μB/cell
# crystal system: monoclinic
data_FeCu2Cl
_cell_length_a 10.9294
_cell_length_b 2.8925
_cell_length_c 4.0158
_cell_angle_alpha 90.00
_cell_angle_beta 110.59
_cell_angle_gamma 90.00
_symmetry_space_group_name_H-M 'C 1 2/m 1'
_symmetry_Int_Tables_number 12
_symmetry_space_group_name_Hall '-C 2y'
loop_
_atom_site_label
_atom_site_type_symbol
_atom_site_fract_x
_atom_site_fract_y
_atom_site_fract_z
Fe1 Fe 0.0000 0.0000 0.0000
Cu1 Cu 0.2431 0.5000 0.7441
Cl1 Cl 0.0000 0.5000 0.5000

Run two
# PBE-GGA FeCu2Cl, relaxed
# total magnetic moment: 3.185 μB/cell
# crystal system: tetragonal
data_FeCu2Cl
_cell_length_a 2.9983
_cell_length_b 2.9983
_cell_length_c 6.7013
_cell_angle_alpha 90.00
_cell_angle_beta 90.00
_cell_angle_gamma 90.00
_symmetry_space_group_name_H-M 'P 4 m m'
_symmetry_Int_Tables_number 99
_symmetry_space_group_name_Hall 'P 4 -2'
loop_
_atom_site_label
_atom_site_type_symbol
_atom_site_fract_x
_atom_site_fract_y
_atom_site_fract_z
Fe1 Fe 0.0000 0.0000 0.0000
Cu1 Cu 0.0000 0.0000 0.5939
Cu2 Cu 0.5000 0.5000 0.7758
Cl1 Cl 0.5000 0.5000 0.2189

Which structure loses on stability? run one does.

Run one
# PBE-GGA FeCuCl2, relaxed
# total magnetic moment: 3.082 μB/cell
# crystal system: tetragonal
data_FeCuCl2
_cell_length_a 4.4961
_cell_length_b 4.4961
_cell_length_c 3.1803
_cell_angle_alpha 90.00
_cell_angle_beta 90.00
_cell_angle_gamma 90.00
_symmetry_space_group_name_H-M 'P 4/m m m'
_symmetry_Int_Tables_number 123
_symmetry_space_group_name_Hall '-P 4 2'
loop_
_atom_site_label
_atom_site_type_symbol
_atom_site_fract_x
_atom_site_fract_y
_atom_site_fract_z
Fe1 Fe 0.0000 0.0000 0.0000
Cu1 Cu 0.5000 0.5000 0.0000
Cl1 Cl 0.0000 0.5000 0.5000

Run two
# PBE-GGA FeCuCl2, relaxed
# total magnetic moment: 12.169 μB/cell
# crystal system: cubic
data_FeCuCl2
_cell_length_a 6.3305
_cell_length_b 6.3305
_cell_length_c 6.3305
_cell_angle_alpha 90.00
_cell_angle_beta 90.00
_cell_angle_gamma 90.00
_symmetry_space_group_name_H-M 'F m -3 m'
_symmetry_Int_Tables_number 225
_symmetry_space_group_name_Hall '-F 4 2 3'
loop_
_atom_site_label
_atom_site_type_symbol
_atom_site_fract_x
_atom_site_fract_y
_atom_site_fract_z
Fe1 Fe 0.0000 0.0000 0.0000
Cu1 Cu 0.0000 0.0000 0.5000
Cl1 Cl 0.2500 0.2500 0.2500

Run three
# PBE-GGA FeCuCl2, relaxed
# total magnetic moment: 6.045 μB/cell
# crystal system: tetragonal
data_FeCuCl2
_cell_length_a 3.4296
_cell_length_b 3.4296
_cell_length_c 13.2068
_cell_angle_alpha 90.00
_cell_angle_beta 90.00
_cell_angle_gamma 90.00
_symmetry_space_group_name_H-M 'I -4 m 2'
_symmetry_Int_Tables_number 119
_symmetry_space_group_name_Hall 'I -4 -2'
loop_
_atom_site_label
_atom_site_type_symbol
_atom_site_fract_x
_atom_site_fract_y
_atom_site_fract_z
Fe1 Fe 0.0000 0.0000 0.0000
Cu1 Cu 0.0000 0.5000 0.2500
Cl1 Cl 0.0000 0.0000 0.5000
Cl2 Cl 0.0000 0.5000 0.7500

Which structure loses on stability? run one does.